Entry 1:
This record from Alexandria via LeMat-Bulk describes a relaxed KAlPb crystal. The functional is GGA-PBE.

Lattice parameters (Å, degrees): 5.104 5.104 7.964 90.00 90.00 120.00
Fractional positions:
Pb 0.000 0.000 0.281
Pb 0.000 0.000 0.719
K 0.667 0.333 0.000
K 0.667 0.333 0.500
Al 0.333 0.667 0.179
Al 0.333 0.667 0.821

space-group type = P-6m2, No. 187
energy of formation = 0.047 eV/atom

=====

Entry 2:
This record from Alexandria via LeMat-Bulk describes a relaxed Pb3Se crystal. The functional is GGA-PBE.

Lattice parameters (Å, degrees): 5.481 5.481 5.481 60.00 60.00 60.00
Fractional positions:
Pb 0.000 0.000 0.000
Pb 0.250 0.250 0.250
Pb 0.500 0.500 0.500
Se 0.750 0.750 0.750

space-group type = Fm-3m, No. 225
formation energy from raw total energies = 0.02 eV/atom

=====

Entry 3:
This record from Alexandria via LeMat-Bulk describes a relaxed UCr2CuS6 crystal. The functional is GGA-PBE.

Lattice parameters (Å, degrees): 6.190 6.190 6.718 62.57 62.57 60.00
Fractional positions:
U 0.821 0.821 0.536
Cr 0.509 0.509 0.474
Cr 0.011 0.011 0.967
Cu 0.311 0.311 0.066
S 0.609 0.248 0.238
S 0.248 0.905 0.238
S 0.905 0.609 0.238
S 0.390 0.732 0.753
S 0.732 0.125 0.753
S 0.125 0.390 0.753

space-group type = R3, No. 146
formation energy from raw total energies = -0.73 eV/atom

=====

Entry 4:
This record from Alexandria via LeMat-Bulk describes a relaxed CoB2Ru crystal. The functional is GGA-PBE.

Lattice parameters (Å, degrees): 3.679 3.679 3.679 60.00 60.00 60.00
Fractional positions:
Ru 0.500 0.500 0.500
B 0.250 0.250 0.250
B 0.750 0.750 0.750
Co 0.000 0.000 0.000

energy relative to the lowest polymorph listed for this composition = 50 meV per atom
space-group type = Fm-3m, No. 225
energy of formation = -0.023 eV/atom

=====

Entry 5:
This record from Alexandria via LeMat-Bulk describes a relaxed YAlTlGe2 crystal. The functional is GGA-PBE.

Lattice parameters (Å, degrees): 5.278 5.199 5.278 90.00 90.00 90.00
Fractional positions:
Y 0.500 0.500 0.500
Tl 0.000 0.000 0.000
Ge 0.000 0.000 0.500
Ge 0.500 0.000 0.000
Al 0.000 0.500 0.000

space-group type = P4/mmm, No. 123
energy of formation = 0.688 eV/atom

=====

Entry 6:
This record from Alexandria via LeMat-Bulk describes a relaxed Rb2ScIn2Br6 crystal. The functional is GGA-PBE.

Lattice parameters (Å, degrees): 8.225 8.225 10.147 105.43 105.43 123.02
Fractional positions:
Rb 0.333 0.667 0.500
Rb 0.667 0.333 0.500
Sc 0.000 0.000 0.500
In 0.753 0.247 0.000
In 0.247 0.753 0.000
Br 0.860 0.860 0.685
Br 0.139 0.403 0.692
Br 0.140 0.140 0.315
Br 0.403 0.139 0.692
Br 0.861 0.597 0.308
Br 0.597 0.861 0.308

space-group type = C2/m, No. 12
formation energy from raw total energies = -1.26 eV/atom